# 1
The following is a DFT calculation (PBE) of CeP5O14 after structural relaxation.

```
CeP5O14
1.0
-3.931 7.212 3.505
-6.008 -5.440 4.454
8.222 -0.603 10.355
Ce P O
4 20 56
Direct
0.776 0.187 0.000 Ce
0.224 0.687 0.500 Ce
0.224 0.813 0.000 Ce
0.776 0.313 0.500 Ce
0.185 0.248 0.000 P
0.815 0.748 0.500 P
0.815 0.752 0.000 P
0.185 0.252 0.500 P
0.740 0.547 0.836 P
0.260 0.047 0.664 P
0.260 0.453 0.164 P
0.740 0.953 0.336 P
0.003 0.002 0.204 P
0.997 0.502 0.296 P
0.997 0.998 0.796 P
0.003 0.498 0.704 P
0.734 0.549 0.164 P
0.266 0.049 0.336 P
0.266 0.451 0.836 P
0.734 0.951 0.664 P
0.502 0.001 0.176 P
0.498 0.501 0.324 P
0.498 0.999 0.824 P
0.502 0.499 0.676 P
0.287 0.316 0.908 O
0.713 0.816 0.592 O
0.713 0.684 0.092 O
0.287 0.184 0.408 O
0.032 0.311 0.998 O
0.968 0.811 0.502 O
0.968 0.689 0.002 O
0.032 0.189 0.498 O
0.281 0.315 0.095 O
0.719 0.815 0.405 O
0.719 0.685 0.905 O
0.281 0.185 0.595 O
0.620 0.581 0.752 O
0.380 0.081 0.748 O
0.380 0.419 0.248 O
0.620 0.919 0.252 O
0.897 0.580 0.786 O
0.103 0.080 0.714 O
0.103 0.420 0.214 O
0.897 0.920 0.286 O
0.726 0.406 0.887 O
0.274 0.906 0.613 O
0.274 0.594 0.113 O
0.726 0.094 0.387 O
0.914 0.114 0.150 O
0.086 0.614 0.350 O
0.086 0.886 0.850 O
0.914 0.386 0.650 O
0.116 0.089 0.279 O
0.884 0.589 0.221 O
0.884 0.911 0.721 O
0.116 0.411 0.779 O
0.729 0.406 0.114 O
0.271 0.906 0.386 O
0.271 0.594 0.886 O
0.729 0.094 0.614 O
0.604 0.582 0.241 O
0.396 0.082 0.259 O
0.396 0.418 0.759 O
0.604 0.918 0.741 O
0.580 0.118 0.120 O
0.420 0.618 0.380 O
0.420 0.882 0.880 O
0.580 0.382 0.620 O
0.786 0.910 0.000 O
0.214 0.410 0.500 O
0.214 0.090 0.000 O
0.786 0.590 0.500 O
0.913 0.114 0.850 O
0.087 0.614 0.650 O
0.087 0.886 0.150 O
0.913 0.386 0.350 O
0.582 0.115 0.877 O
0.418 0.615 0.623 O
0.418 0.885 0.123 O
0.582 0.385 0.377 O
```

Computed properties:
Total DFT energy (no corrections) (eV/f.u.): -148.6

# 2
The following is a DFT calculation (PBE) of MnPbBr2 after structural relaxation.

```
MnPbBr2
1.0
-2.782 1.747 -1.778
1.396 -3.259 -1.176
-6.870 -5.035 5.800
Br Mn Pb
2 1 1
Direct
0.000 0.000 0.073 Br
0.000 0.000 0.427 Br
0.500 0.500 0.250 Mn
0.500 0.500 0.750 Pb
```

Computed properties:
Polymorph energy (0 for the lowest one) (meV per atom): 145

# 3
The following is a DFT calculation (PBE) of USb2S6 after structural relaxation.

```
USb2S6
1.0
3.872 0.000 -0.887
-0.314 6.979 -1.369
0.086 0.655 9.268
U Sb S
1 2 6
Direct
0.500 0.000 0.000 U
0.839 0.575 0.678 Sb
0.161 0.425 0.322 Sb
0.366 0.849 0.732 S
0.974 0.213 0.947 S
0.711 0.670 0.422 S
0.026 0.787 0.053 S
0.634 0.151 0.268 S
0.289 0.330 0.578 S
```

Computed properties:
Total DFT energy (no corrections) (eV/f.u.): -49.6

Results for theoretical density: 3.15; 5.78; 4.40 (in g/cm3, following the order of the records).